[1]
Material: PaMn4Al
Method: DFT, PBE
State: relaxed

The structure in CIF format:
```
data_PaMn4Al
_space_group_name_H-M_alt 'P 1'
_space_group_IT_number 1
_space_group_name_Hall 'P 1'
_cell_length_a 4.9721
_cell_length_b 4.9721
_cell_length_c 4.9721
_cell_angle_alpha 60.00
_cell_angle_beta 60.00
_cell_angle_gamma 60.00
loop_
_atom_site_label
_atom_site_type_symbol
_atom_site_fract_x
_atom_site_fract_y
_atom_site_fract_z
Pa1 Pa 0.2500 0.2500 0.2500
Al1 Al 0.0000 0.0000 0.0000
Mn1 Mn 0.6258 0.6258 0.6258
Mn2 Mn 0.1227 0.6258 0.6258
Mn3 Mn 0.6258 0.6258 0.1227
Mn4 Mn 0.6258 0.1227 0.6258
```

Calculated volume = 87 Å³/cell
Total magnetization = 6.2 μB/f.u.
Crystal system = cubic
Calculated formation energy = -0.01 eV/atom

[2]
Material: Rb2Bi2Pb
Method: DFT, PBE
State: relaxed

The structure in CIF format:
```
data_Rb2Bi2Pb
_space_group_name_H-M_alt 'P 1'
_space_group_IT_number 1
_space_group_name_Hall 'P 1'
_cell_length_a 8.4463
_cell_length_b 8.4463
_cell_length_c 5.9841
_cell_angle_alpha 90.00
_cell_angle_beta 90.00
_cell_angle_gamma 90.00
loop_
_atom_site_label
_atom_site_type_symbol
_atom_site_fract_x
_atom_site_fract_y
_atom_site_fract_z
Pb1 Pb 0.0000 0.0000 0.0000
Pb2 Pb 0.5000 0.5000 0.0000
Bi1 Bi 0.8715 0.6285 0.0000
Bi2 Bi 0.6285 0.1285 0.0000
Bi3 Bi 0.1285 0.3715 0.0000
Bi4 Bi 0.3715 0.8715 0.0000
Rb1 Rb 0.1731 0.6731 0.5000
Rb2 Rb 0.8269 0.3269 0.5000
Rb3 Rb 0.3269 0.1731 0.5000
Rb4 Rb 0.6731 0.8269 0.5000
```

Calculated volume = 427 Å³/cell
Total magnetization = 0.0 μB/f.u.
Crystal system = tetragonal
Calculated formation energy = -0.24 eV/atom